Density functional theory data (PBE) for a relaxed CsRe2Ni crystal.

Output
Energy of formation from the pure elements   2249.6 meV/atom
N(E_F)   1.53 states/eV per atom
Polymorph energy (0 for the lowest one)   0.434 eV/atom
VASP energy   -5.633 eV per atom
SG   Fm-3m, No. 225

Structure (extended XYZ):
```
4
Lattice="0.000 3.227 3.227 3.227 0.000 3.227 3.227 3.227 0.000" Properties=species:S:1:pos:R:3 pbc="T T T"
Cs 0.000 0.000 0.000
Re 1.614 1.614 1.614
Re 4.841 4.841 4.841
Ni 3.227 3.227 3.227
```